# 1
First-principles (PBE-GGA) data for a geometry-optimized PrY2Cd2In2 structure, as listed in Alexandria.

Cell and atoms, written as CIF:
```
data_PrY2Cd2In2
_chemical_formula_sum 'Pr1 Y2 Cd2 In2'
_space_group_name_H-M_alt 'P 1'
_space_group_IT_number 1
_cell_length_a 9.6232
_cell_length_b 9.6232
_cell_length_c 9.6232
_cell_angle_alpha 29.88
_cell_angle_beta 29.88
_cell_angle_gamma 29.88
loop_
_space_group_symop_operation_xyz
'x,y,z'
loop_
_atom_site_label
_atom_site_fract_x
_atom_site_fract_y
_atom_site_fract_z
Pr1 0.0000 0.0000 0.0000
Y1 0.1289 0.1289 0.1289
Y2 0.8711 0.8711 0.8711
Cd1 0.4017 0.4017 0.4017
Cd2 0.5983 0.5983 0.5983
In1 0.2564 0.2564 0.2564
In2 0.7436 0.7436 0.7436
```

Properties
**Volume**: 195.9 Å³/cell
**Energy relative to the elements**: -6.78 kcal/mol of atoms
**SG**: No. 166

***

# 2
First-principles (PBE-GGA) data for a geometry-optimized Pr2YCd2In2 structure, as listed in Alexandria.

Cell and atoms, written as CIF:
```
data_Pr2YCd2In2
_chemical_formula_sum 'Pr2 Y1 Cd2 In2'
_space_group_name_H-M_alt 'P 1'
_space_group_IT_number 1
_cell_length_a 9.7265
_cell_length_b 9.7265
_cell_length_c 9.7265
_cell_angle_alpha 29.57
_cell_angle_beta 29.57
_cell_angle_gamma 29.57
loop_
_space_group_symop_operation_xyz
'x,y,z'
loop_
_atom_site_label
_atom_site_fract_x
_atom_site_fract_y
_atom_site_fract_z
Pr1 0.1277 0.1277 0.1277
Pr2 0.8723 0.8723 0.8723
Y1 0.0000 0.0000 0.0000
Cd1 0.3923 0.3923 0.3923
Cd2 0.6077 0.6077 0.6077
In1 0.2639 0.2639 0.2639
In2 0.7361 0.7361 0.7361
```

Properties
**Volume**: 198.4 Å³/cell
**Energy relative to the elements**: -6.69 kcal/mol of atoms
**SG**: No. 166

***

# 3
First-principles (PBE-GGA) data for a geometry-optimized PrYCdIn structure, as listed in Alexandria.

Cell and atoms, written as CIF:
```
data_PrYCdIn
_chemical_formula_sum 'Pr1 Y1 Cd1 In1'
_space_group_name_H-M_alt 'P 1'
_space_group_IT_number 1
_cell_length_a 5.4163
_cell_length_b 5.4163
_cell_length_c 5.4163
_cell_angle_alpha 60.00
_cell_angle_beta 60.00
_cell_angle_gamma 60.00
loop_
_space_group_symop_operation_xyz
'x,y,z'
loop_
_atom_site_label
_atom_site_fract_x
_atom_site_fract_y
_atom_site_fract_z
Pr1 0.0000 0.0000 0.0000
Y1 0.5000 0.5000 0.5000
Cd1 0.7500 0.7500 0.7500
In1 0.2500 0.2500 0.2500
```

Properties
**Volume**: 112.4 Å³/cell
**Energy relative to the elements**: -9.82 kcal/mol of atoms
**SG**: No. 216

***

# 4
First-principles (PBE-GGA) data for a geometry-optimized PrZrCdIn structure, as listed in Alexandria.

Cell and atoms, written as CIF:
```
data_PrZrCdIn
_chemical_formula_sum 'Pr1 Zr1 Cd1 In1'
_space_group_name_H-M_alt 'P 1'
_space_group_IT_number 1
_cell_length_a 5.2467
_cell_length_b 5.2467
_cell_length_c 5.2467
_cell_angle_alpha 60.00
_cell_angle_beta 60.00
_cell_angle_gamma 60.00
loop_
_space_group_symop_operation_xyz
'x,y,z'
loop_
_atom_site_label
_atom_site_fract_x
_atom_site_fract_y
_atom_site_fract_z
Pr1 0.0000 0.0000 0.0000
Zr1 0.5000 0.5000 0.5000
Cd1 0.2500 0.2500 0.2500
In1 0.7500 0.7500 0.7500
```

Properties
**Volume**: 102.1 Å³/cell
**Energy relative to the elements**: -4.97 kcal/mol of atoms
**SG**: No. 216